[1]
15
Lattice="9.0019 0.0000 0.0000 4.5009 7.7959 0.0000 4.5009 2.5986 6.8368" Properties=species:S:1:pos:R:3 comment="Tb8Dy6Tm PBE relaxed" dos_ef_per_ev_atom=1.53 e_tot_ev_per_atom=-4.484 crystal_system=trigonal de_polymorph_mev_per_atom=0 density_g_cm3=8.36 magnetic_moment_mub_per_fu=0.0 space_group=R-3 delta_e_f_ev_per_atom=0.125 pbc="T T T"
Tb 6.1449 3.6744 3.9458
Tb 8.8922 1.9616 2.8911
Tb 6.2545 6.9100 2.8911
Tb 9.0019 5.1972 1.8386
Tb 9.0019 5.1972 4.9982
Tb 11.7492 3.4844 3.9458
Tb 9.1115 8.4329 3.9458
Tb 11.8589 6.7201 2.8911
Dy 12.1199 9.2610 6.0043
Dy 2.5406 2.1335 0.8326
Dy 5.0783 4.5288 0.8326
Dy 12.9254 5.8657 6.0043
Dy 15.4631 8.2610 6.0043
Dy 5.8839 1.1335 0.8326
Tm 0.0000 0.0000 0.0000

---

[2]
4
Lattice="5.1714 0.0000 0.0000 2.5857 4.4785 0.0000 2.5857 1.4928 4.2224" Properties=species:S:1:pos:R:3 comment="ZrPaTe2 PBE relaxed" dos_ef_per_ev_atom=0.90 e_tot_ev_per_atom=-6.775 crystal_system=cubic de_polymorph_mev_per_atom=28 density_g_cm3=9.81 magnetic_moment_mub_per_fu=0.0 space_group=Fm-3m formation_energy_uncorrected_ev_per_atom=-0.693 pbc="T T T"
Pa 0.0000 0.0000 0.0000
Te 2.5857 1.4928 1.0556
Te 7.7571 4.4785 3.1668
Zr 5.1714 2.9857 2.1112

---

[3]
10
Lattice="-3.3787 1.2878 5.9513 2.6135 -2.2569 6.0472 2.8735 4.9821 4.6280" Properties=species:S:1:pos:R:3 comment="NdY2TmS6 PBE relaxed" dos_ef_per_ev_atom=0.00 e_tot_ev_per_atom=-6.740 crystal_system=trigonal density_g_cm3=4.37 magnetic_moment_mub_per_fu=0.0 space_group=R3 formation_energy_uncorrected_ev_per_atom=-2.047 pbc="T T T"
Nd 1.0108 2.0423 12.3549
Y 0.8806 1.7125 8.2785
Y 2.7376 4.7513 4.6009
Tm -0.1034 -0.0655 4.0298
S -0.7694 1.5186 6.1144
S 2.3703 -0.5599 8.0345
S -0.8072 1.0439 10.3152
S 2.6804 2.6425 10.1986
S 0.0788 4.3738 8.5361
S 2.7654 3.0092 6.6793

---

[4]
4
Lattice="-1.7830 -3.0437 3.0009 -2.1808 -2.1487 -3.4751 5.2973 -3.9640 -0.8732" Properties=species:S:1:pos:R:3 comment="BaInBr2 PBE relaxed" dos_ef_per_ev_atom=0.72 e_tot_ev_per_atom=-3.141 crystal_system=tetragonal de_polymorph_mev_per_atom=111 density_g_cm3=4.78 magnetic_moment_mub_per_fu=1.0 space_group=P4mm formation_energy_uncorrected_ev_per_atom=-1.139 pbc="T T T"
Ba 2.2756 -5.7821 -0.9389
Br 5.0648 -3.7901 -0.8349
Br -0.4172 -3.7671 -0.4950
In 2.3562 -1.7632 -0.3884

---

[5]
80
Lattice="-3.4062 -8.2947 -11.7827 6.8990 -8.3561 10.0903 -12.4004 5.5812 5.8580" Properties=species:S:1:pos:R:3 comment="Sr12Cu3F5 PBE relaxed" dos_ef_per_ev_atom=0.76 e_tot_ev_per_atom=-3.428 crystal_system=cubic density_g_cm3=3.55 magnetic_moment_mub_per_fu=0.0 space_group=Ia-3d formation_energy_uncorrected_ev_per_atom=-1.337 pbc="T T T"
Cu -1.5176 -8.6569 -4.3209
Cu 0.6438 -12.8273 -2.0099
Cu -3.8533 -5.8894 6.8105
Cu -4.6393 -1.0253 0.5124
Cu -5.2182 -6.9071 -7.5840
Cu -0.0655 -6.9378 3.3524
Cu -8.8421 -4.1319 0.8132
Cu -3.6894 -4.1626 11.7497
Cu -4.2683 -10.0444 3.6533
Cu -5.0543 -5.1803 -2.6448
Cu -9.5514 1.7576 6.1755
Cu -7.3900 -2.4128 8.4865
F -0.9387 -2.7751 3.7755
F 3.4495 -4.1781 5.0451
F 0.0000 0.0000 0.0000
F -1.1026 -4.5019 -1.1637
F -7.9033 -1.3568 -2.9623
F 1.7464 -8.3254 -0.8462
F 0.0984 -5.2110 8.2916
F -12.5426 -2.3820 -2.4499
F -2.8929 -9.3507 -0.3338
F -9.7153 0.0308 1.2363
F 0.8077 -11.1005 2.9293
F -4.4538 -5.5348 2.0828
F -1.7031 -4.1473 -5.8913
F -6.2002 2.7906 2.9290
F -6.0147 -1.7190 4.4995
F 3.6351 -8.6877 6.6156
F -2.7507 -1.3875 7.9742
F -9.0059 -5.8587 -4.1260
F -7.8050 -6.5678 5.3293
F -7.9689 -8.2946 0.3901
Sr -1.8957 -6.7835 -7.0096
Sr -2.4440 -4.7369 3.9698
Sr -4.2851 -9.6366 -5.9837
Sr -1.8396 -5.4461 -3.3357
Sr -5.6133 -7.0092 4.2550
Sr -1.5183 -12.0306 -4.3705
Sr -0.7152 -6.8956 6.6630
Sr 4.4366 -7.7268 8.7572
Sr -3.8228 -9.2632 6.8271
Sr -0.6701 -9.7923 -1.3419
Sr -4.0965 -8.3949 -2.2807
Sr 3.1486 -14.1530 -0.3216
Sr -2.0167 -4.0292 8.8225
Sr 0.3792 -6.0032 0.1411
Sr 1.2374 -6.1834 10.2688
Sr -7.9557 -1.0901 -0.1052
Sr -1.6457 -1.1233 2.0656
Sr 1.9201 -9.1363 1.9013
Sr -0.0643 -12.7430 1.2879
Sr 1.2136 -3.8983 3.2677
Sr -4.3353 -6.8827 9.9987
Sr -2.8270 -7.8586 1.6465
Sr -3.9781 -11.3569 0.6408
Sr -11.8084 -4.0759 -0.7934
Sr -6.0806 -3.2110 2.5191
Sr -4.9295 0.2872 3.5249
Sr 2.9008 -6.9938 4.9591
Sr -8.8433 1.6733 2.8778
Sr -4.5722 -4.1870 -5.8331
Sr -10.1212 -7.1713 0.8980
Sr -10.8277 -1.9333 2.2643
Sr -0.9519 -9.9796 4.2709
Sr -7.2619 -9.9464 2.1000
Sr -10.1450 -4.8863 -6.1032
Sr -6.8909 -7.0405 -4.6569
Sr -12.0562 3.0833 4.4873
Sr -9.2868 -5.0665 4.0245
Sr -5.0848 -1.8065 -2.6614
Sr -8.2375 -1.2774 5.5075
Sr -4.8111 -2.6748 6.4463
Sr -13.3442 -3.3428 -4.5916
Sr -8.1924 -4.1740 -2.4974
Sr -7.0680 -5.6236 7.5013
Sr -7.3893 0.9609 8.5362
Sr -3.2943 -4.0605 -0.0894
Sr -4.6224 -1.4331 10.1493
Sr -6.4636 -6.3327 0.1958
Sr -7.0118 -4.2862 11.1752

---

[6]
5
Lattice="5.3839 0.0000 0.0000 0.0000 5.3839 0.0000 0.0000 0.0000 5.3839" Properties=species:S:1:pos:R:3 comment="LiLa3Pb PBE relaxed" dos_ef_per_ev_atom=0.31 e_tot_ev_per_atom=-3.995 crystal_system=cubic de_polymorph_mev_per_atom=0 density_g_cm3=6.71 magnetic_moment_mub_per_fu=0.0 space_group=Pm-3m delta_e_f_ev_per_atom=0.086 pbc="T T T"
Pb 2.6920 2.6920 2.6920
Li 0.0000 0.0000 0.0000
La 0.0000 2.6920 0.0000
La 0.0000 0.0000 2.6920
La 2.6920 0.0000 0.0000